Compound: CeAlB
Source: the Alexandria database
Functional: PBE
Structure: optimized geometry

Cell and atoms, written as extended XYZ:
```
3
Lattice="2.973 0.000 0.000 0.000 2.973 0.000 -1.487 -1.487 5.450" Properties=species:S:1:pos:R:3 pbc="T T T"
B 1.487 1.487 2.115
Al 0.000 0.000 3.160
Ce 0.000 0.000 0.175
```

Output
- energy relative to the lowest polymorph listed for this composition (kcal/mol of atoms) = 5.79
- total energy (eV/f.u.) = -15.85
- E_form (eV/atom) = 0.17
- crystal system = tetragonal
- space-group type = I4mm
- D(E_F) (states/eV per atom) = 1.25